# 1
A plane-wave DFT calculation with meta-GGA SCAN was carried out for a PBEsol-optimized structure of IrPtCl2.

a b c (Å): 2.938 3.634 7.727
angles (deg): 98.17 90.00 113.84
Fractional coordinates of all 4 atoms:
Cl 0.017 0.034 0.072
Cl 0.234 0.469 0.668
Ir 0.495 0.990 0.486
Pt 0.754 0.508 0.274

total magnetization: 0.0 μB per formula unit
electronic total energy: -157.478 eV per cell
energy above the most stable polymorph in this dataset: 0.3 kJ per mole of atoms
energy relative to the elements, uncorrected: -0.057 eV per atom
density of states at the Fermi level: 2.1 states/eV/cell


# 2
A plane-wave DFT calculation with meta-GGA SCAN was carried out for a PBEsol-optimized structure of MgCo3Sb.

a b c (Å): 4.576 4.576 4.576
angles (deg): 90.00 90.00 90.00
Each line ends with the local moment (μB).
Fractional coordinates of all 5 atoms:
Co 0.000 0.000 0.500  1.48
Co 0.000 0.500 0.000  1.48
Co 0.500 0.000 0.000  1.48
Mg 0.500 0.500 0.500  -0.03
Sb 0.000 0.000 0.000  -0.03

total magnetization: 4.2 μB per formula unit
electronic total energy: -89.230 eV per cell
energy relative to the elements, uncorrected: 0.983 eV per atom
density of states at the Fermi level: 5.6 states/eV/cell


# 3
A plane-wave DFT calculation with meta-GGA SCAN was carried out for a PBEsol-optimized structure of BaZr2Cu.

a b c (Å): 3.243 5.311 6.369
angles (deg): 114.78 104.75 90.00
Fractional coordinates of all 4 atoms:
Ba 0.000 0.500 0.000
Zr 0.209 0.209 0.418
Zr 0.791 0.791 0.582
Cu 0.500 0.000 0.000

total magnetization: 0.0 μB per formula unit
electronic total energy: -114.808 eV per cell
energy above the most stable polymorph in this dataset: 0.0 kJ per mole of atoms
ΔH_f (0 K): 7.723 kcal/mol of atoms
density of states at the Fermi level: 3.9 states/eV/cell